1.
2
Lattice="0.0000 2.7857 2.7857 2.7857 0.0000 2.7857 2.7857 2.7857 0.0000" Properties=species:S:1:pos:R:3 comment="GGA-PBE FeBi, optimized geometry" sg="No. 225" vol_a3_per_cell=43.2 energy_ev_per_atom=-5.507 m_tot_mub_per_atom=1.326 pbc="T T T"
Bi 0.0000 0.0000 0.0000
Fe 2.7857 2.7857 2.7857



2.
6
Lattice="1.3211 -1.2334 6.2688 -3.0868 -2.0883 2.8403 3.2330 -3.7071 2.7785" Properties=species:S:1:pos:R:3 comment="GGA-PBE Zr3Ni2B, optimized geometry" sg="No. 42" vol_a3_per_cell=98.4 energy_ev_per_atom=-7.104 m_tot_mub_per_atom=0.049 pbc="T T T"
B -0.1522 -3.4461 7.0656
Ni 0.3723 -1.7576 2.9650
Ni 1.1059 -5.2720 8.9088
Zr -1.9655 -2.4968 3.6812
Zr 1.5412 -3.5766 4.9211
Zr 3.5001 -4.5371 8.1212



3.
8
Lattice="5.7126 0.0000 0.0000 0.0000 3.9594 0.0000 -0.3124 0.0000 7.8911" Properties=species:S:1:pos:R:3 comment="GGA-PBE Dy2SiPt, optimized geometry" sg="No. 11" vol_a3_per_cell=178.5 energy_ev_per_atom=-6.151 m_tot_mub_per_atom=0.000 pbc="T T T"
Dy 2.0992 0.9899 1.3522
Dy 4.8838 2.9696 2.4708
Dy 0.5163 0.9899 5.4202
Dy 3.3009 2.9696 6.5389
Pt 4.8051 0.9899 0.3815
Pt 0.5950 2.9696 7.5096
Si 1.9959 2.9696 3.6426
Si 3.4042 0.9899 4.2485



4.
12
Lattice="-2.4202 -2.5798 2.1095 -3.3355 -4.2643 -5.0210 8.4403 -7.3787 0.6597" Properties=species:S:1:pos:R:3 comment="GGA-PBE LuMgAgTe3, optimized geometry" sg="No. 63" relative_energy_ev_per_atom=0.000 vol_a3_per_cell=328.0 m_tot_mub_per_atom=0.000 pbc="T T T"
Ag -2.3432 -7.2696 -3.5373
Ag 5.0278 -6.9532 1.2855
Lu 0.0000 0.0000 0.0000
Lu 4.2202 -3.6894 0.3298
Mg -0.2848 -4.7926 -2.1671
Mg 2.9694 -9.4302 -0.0847
Te -3.3792 -5.1361 -2.1168
Te -0.7959 -5.1042 0.8860
Te -0.2271 -7.8917 -1.8704
Te 2.9117 -6.3311 -0.3814
Te 3.4804 -9.1186 -3.1378
Te 6.0638 -9.0867 -0.1350